Entry from the Alexandria database: a relaxed structure of LiYPd4Pb2 (GGA-PBE).

Cell lengths 8.2583, 8.2583, 8.2583 Å; angles 33.37, 33.37, 33.37 degrees
Sites, in units of the cell vectors:
Li 0.0000 0.0000 0.0000
Y 0.5000 0.5000 0.5000
Pd 0.1182 0.1182 0.1182
Pd 0.3746 0.3746 0.3746
Pd 0.6254 0.6254 0.6254
Pd 0.8818 0.8818 0.8818
Pb 0.2539 0.2539 0.2539
Pb 0.7461 0.7461 0.7461

Calculated values
Raw total energy, eV per atom: -5.105
SG: R-3m, No. 166
Energy of formation from the pure elements, eV per atom: -0.534
Volume, Å³/atom: 19.0